First-principles (GGA-PBE) data for crystalline Cu4As3 at its relaxed geometry, as listed in OQMD.

POSCAR file:
```
Cu4As3
1.0
1.910 1.103 8.786
-1.910 1.103 8.786
0.000 -2.205 8.786
Cu As
4 3
direct
0.144 0.144 0.144
0.283 0.283 0.283
0.717 0.717 0.717
0.856 0.856 0.856
0.000 0.000 0.000
0.435 0.435 0.435
0.565 0.565 0.565
```

Output
Uncorrected energy: -3.91 eV per atom